No. 1
Crystalline CrCuCl3 at its relaxed geometry. Source: Alexandria, functional GGA-PBE.

Summary:
space group = Pm-3m (221)
raw formation energy = -6.908 kcal/mol of atoms
volume = 112 Å³ per cell
total DFT energy (no corrections) = -20.757 eV/cell
density of states at the Fermi level = 0.3558 states/eV per atom

a = 4.819 Å, b = 4.819 Å, c = 4.819 Å
α = 90.00°, β = 90.00°, γ = 90.00°
Sites, in units of the cell vectors:
Cl1 0.000 0.500 0.000
Cl2 0.500 0.000 0.000
Cl3 0.000 0.000 0.500
Cr1 0.000 0.000 0.000
Cu1 0.500 0.500 0.500

=====

No. 2
Crystalline CrCu5Cl12 at its relaxed geometry. Source: Alexandria, functional GGA-PBE.

Summary:
space group = C2/m (12)
raw formation energy = -14.251 kcal/mol of atoms
volume = 441 Å³ per cell
total DFT energy (no corrections) = -63.388 eV/cell
density of states at the Fermi level = 0.3990 states/eV per atom

a = 7.016 Å, b = 6.135 Å, c = 12.822 Å
α = 97.29°, β = 102.83°, γ = 55.12°
Sites, in units of the cell vectors:
Cl1 0.183 0.333 0.390
Cl2 0.116 0.668 0.119
Cl3 0.517 0.667 0.390
Cl4 0.784 0.332 0.119
Cl5 0.651 0.000 0.920
Cl6 0.151 0.000 0.610
Cl7 0.349 0.000 0.080
Cl8 0.849 0.000 0.390
Cl9 0.884 0.332 0.881
Cl10 0.483 0.333 0.610
Cl11 0.817 0.667 0.610
Cl12 0.216 0.668 0.881
Cu1 0.167 0.666 0.500
Cu2 0.833 0.334 0.500
Cu3 0.672 0.656 0.000
Cu4 0.328 0.344 0.000
Cu5 0.500 0.000 0.500
Cr1 0.000 0.000 0.000

=====

No. 3
Crystalline Cr2CuCl at its relaxed geometry. Source: Alexandria, functional GGA-PBE.

Summary:
space group = Cm (8)
raw formation energy = 7.116 kcal/mol of atoms
volume = 79 Å³ per cell
total DFT energy (no corrections) = -23.955 eV/cell
density of states at the Fermi level = 0.6437 states/eV per atom

a = 6.342 Å, b = 6.342 Å, c = 4.218 Å
α = 89.89°, β = 89.89°, γ = 27.63°
Sites, in units of the cell vectors:
Cl1 0.315 0.315 0.016
Cr1 0.651 0.651 0.994
Cr2 0.995 0.995 0.995
Cu1 0.539 0.539 0.495

=====

No. 4
Crystalline CrCuCl2 at its relaxed geometry. Source: Alexandria, functional GGA-PBE.

Summary:
space group = C2/m (12)
raw formation energy = -2.313 kcal/mol of atoms
volume = 85 Å³ per cell
total DFT energy (no corrections) = -17.814 eV/cell
density of states at the Fermi level = 0.1783 states/eV per atom

a = 5.021 Å, b = 5.023 Å, c = 4.275 Å
α = 64.44°, β = 64.49°, γ = 90.33°
Sites, in units of the cell vectors:
Cu1 0.000 0.500 0.500
Cl1 0.500 0.500 0.000
Cl2 0.000 0.000 0.000
Cr1 0.500 0.000 0.500

=====

- The highest total DFT energy (no corrections) belongs to which entry?
  CrCuCl2

=====

- Look up the density of states at the Fermi level of the first one.
  0.3558 states/eV per atom